! PBE TcNi2P, relaxed; values from VASP
&SYSTEM
  ibrav = 0, nat = 4, ntyp = 3
/
ATOMIC_SPECIES
Ni 58.69 Ni.upf
P 30.97 P.upf
Tc 98.00 Tc.upf
ATOMIC_POSITIONS crystal
Ni 0.000 0.383 0.764
Ni 0.000 0.617 0.236
P 0.500 0.500 0.000
Tc 0.500 0.000 0.500
CELL_PARAMETERS angstrom
-0.906 -3.356 -1.630
1.402 -1.322 1.942
-3.177 -0.824 3.461
! - Energy: -6.960 eV/atom
! - Symmetry: P2/m (10)
! - Energy relative to the elements: -0.1256 eV per atom
! - ρ: 8.451 g/cm³

! PBE NaHgCl3, relaxed; values from VASP
&SYSTEM
  ibrav = 0, nat = 5, ntyp = 3
/
ATOMIC_SPECIES
Cl 35.45 Cl.upf
Na 22.99 Na.upf
Hg 200.59 Hg.upf
ATOMIC_POSITIONS crystal
Cl 0.500 0.000 0.000
Cl 0.000 0.500 0.000
Cl 0.000 0.000 0.500
Na 0.000 0.000 0.000
Hg 0.500 0.500 0.500
CELL_PARAMETERS angstrom
-1.457 1.791 -4.577
3.485 -2.989 -2.280
-3.465 -3.760 -0.368
! - Excess energy over the best structure of this formula in the dataset: 630.8 meV/atom
! - Formation energy without anion corrections: -0.428 eV/atom
! - Energy: -1.860 eV/atom
! - Symmetry: Pm-3m (221)
! - ρ: 4.067 g/cm³

! PBE Pm6GaSb2, relaxed; values from VASP
&SYSTEM
  ibrav = 0, nat = 9, ntyp = 3
/
ATOMIC_SPECIES
Pm 145.00 Pm.upf
Sb 121.76 Sb.upf
Ga 69.72 Ga.upf
ATOMIC_POSITIONS crystal
Pm 0.500 0.589 0.000
Pm 0.000 0.754 0.754
Pm 0.500 0.411 0.411
Pm 0.000 0.246 0.000
Pm 0.500 0.000 0.589
Pm 0.000 0.000 0.246
Sb 0.000 0.667 0.333
Sb 0.000 0.333 0.667
Ga 0.500 0.000 0.000
CELL_PARAMETERS angstrom
4.384 0.000 0.000
0.000 8.475 0.000
0.000 -4.237 7.339
! - Formation energy without anion corrections: -0.680 eV/atom
! - Energy: -5.099 eV/atom
! - Symmetry: P-62m (189)
! - ρ: 7.205 g/cm³

! PBE CaErGaPt, relaxed; values from VASP
&SYSTEM
  ibrav = 0, nat = 4, ntyp = 4
/
ATOMIC_SPECIES
Er 167.26 Er.upf
Pt 195.08 Pt.upf
Ca 40.08 Ca.upf
Ga 69.72 Ga.upf
ATOMIC_POSITIONS crystal
Er 0.250 0.250 0.250
Pt 0.500 0.500 0.500
Ca 0.750 0.750 0.750
Ga 0.000 0.000 0.000
CELL_PARAMETERS angstrom
-3.642 -1.600 -3.003
-1.571 -4.722 0.284
-4.506 -1.019 1.871
! - Excess energy over the best structure of this formula in the dataset: 57.5 meV/atom
! - Energy: -4.680 eV/atom
! - Symmetry: F-43m (216)
! - Energy relative to the elements: -0.7719 eV per atom
! - ρ: 8.954 g/cm³

! PBE MgScP2, relaxed; values from VASP
&SYSTEM
  ibrav = 0, nat = 4, ntyp = 3
/
ATOMIC_SPECIES
Sc 44.96 Sc.upf
P 30.97 P.upf
Mg 24.30 Mg.upf
ATOMIC_POSITIONS crystal
Sc 0.390 0.502 0.887
P 0.899 0.014 0.885
P 0.835 0.225 0.610
Mg 0.377 0.760 0.617
CELL_PARAMETERS angstrom
-0.865 2.945 4.392
-2.694 -2.023 5.091
4.301 -1.134 -4.181
! - Energy: -5.439 eV/atom
! - Symmetry: Cm (8)
! - Energy relative to the elements: -0.7527 eV per atom
! - ρ: 3.085 g/cm³

! PBE CaSn2Br, relaxed; values from VASP
&SYSTEM
  ibrav = 0, nat = 4, ntyp = 3
/
ATOMIC_SPECIES
Ca 40.08 Ca.upf
Br 79.90 Br.upf
Sn 118.71 Sn.upf
ATOMIC_POSITIONS crystal
Ca 0.000 0.000 0.000
Br 0.500 0.500 0.500
Sn 0.750 0.750 0.750
Sn 0.250 0.250 0.250
CELL_PARAMETERS angstrom
2.908 -3.862 2.645
-0.690 -0.741 5.417
-2.504 -4.541 1.862
! - Excess energy over the best structure of this formula in the dataset: 240.1 meV/atom
! - Formation energy without anion corrections: -0.098 eV/atom
! - Energy: -3.018 eV/atom
! - Symmetry: Fm-3m (225)
! - ρ: 5.016 g/cm³

! PBE KLaIr2, relaxed; values from VASP
&SYSTEM
  ibrav = 0, nat = 4, ntyp = 3
/
ATOMIC_SPECIES
La 138.91 La.upf
Ir 192.22 Ir.upf
K 39.10 K.upf
ATOMIC_POSITIONS crystal
La 0.750 0.750 0.750
Ir 0.250 0.250 0.250
Ir 0.000 0.000 0.000
K 0.500 0.500 0.500
CELL_PARAMETERS angstrom
4.949 0.000 0.000
2.474 4.286 0.000
2.474 1.429 4.041
! - Excess energy over the best structure of this formula in the dataset: 648.5 meV/atom
! - Energy: -5.447 eV/atom
! - Symmetry: F-43m (216)
! - Energy relative to the elements: 0.4899 eV per atom
! - ρ: 10.898 g/cm³

! PBE KYZr, relaxed; values from VASP
&SYSTEM
  ibrav = 0, nat = 12, ntyp = 3
/
ATOMIC_SPECIES
K 39.10 K.upf
Zr 91.22 Zr.upf
Y 88.91 Y.upf
ATOMIC_POSITIONS crystal
K 0.250 0.750 0.570
K 0.750 0.250 0.430
K 0.750 0.750 0.930
K 0.250 0.250 0.070
Zr 0.249 0.250 0.288
Zr 0.751 0.750 0.712
Zr 0.251 0.750 0.788
Zr 0.749 0.250 0.212
Y 0.251 0.250 0.697
Y 0.249 0.750 0.197
Y 0.749 0.750 0.303
Y 0.751 0.250 0.803
CELL_PARAMETERS angstrom
4.301 0.000 0.000
0.000 4.823 0.000
0.000 0.000 25.060
! - Excess energy over the best structure of this formula in the dataset: 148.3 meV/atom
! - Energy: -5.057 eV/atom
! - Symmetry: Pnma (62)
! - Energy relative to the elements: 0.3130 eV per atom
! - ρ: 2.801 g/cm³

! PBE NaCu2S2, relaxed; values from VASP
&SYSTEM
  ibrav = 0, nat = 5, ntyp = 3
/
ATOMIC_SPECIES
Na 22.99 Na.upf
Cu 63.55 Cu.upf
S 32.06 S.upf
ATOMIC_POSITIONS crystal
Na 0.000 0.000 0.000
Cu 0.302 0.302 0.396
Cu 0.698 0.698 0.604
S 0.750 0.250 0.500
S 0.250 0.750 0.500
CELL_PARAMETERS angstrom
4.627 0.000 0.000
0.000 4.627 0.000
2.313 2.313 4.567
! - Formation energy without anion corrections: -0.288 eV/atom
! - Energy: -3.842 eV/atom
! - Symmetry: I4/mmm (139)
! - ρ: 3.638 g/cm³

! PBE TaTeI2N, relaxed; values from VASP
&SYSTEM
  ibrav = 0, nat = 5, ntyp = 4
/
ATOMIC_SPECIES
I 126.90 I.upf
Te 127.60 Te.upf
Ta 180.95 Ta.upf
N 14.01 N.upf
ATOMIC_POSITIONS crystal
I 0.000 0.500 0.000
I 0.500 0.000 0.000
Te 0.500 0.500 0.500
Ta 0.000 0.000 0.000
N 0.000 0.000 0.500
CELL_PARAMETERS angstrom
5.761 0.000 0.000
0.000 5.761 0.000
0.000 0.000 3.935
! - Excess energy over the best structure of this formula in the dataset: 0.0 meV/atom
! - Formation energy without anion corrections: 0.292 eV/atom
! - Energy: -4.992 eV/atom
! - Symmetry: P4/mmm (123)
! - ρ: 7.328 g/cm³

! PBE Re2SnS, relaxed; values from VASP
&SYSTEM
  ibrav = 0, nat = 4, ntyp = 3
/
ATOMIC_SPECIES
Sn 118.71 Sn.upf
Re 186.21 Re.upf
S 32.06 S.upf
ATOMIC_POSITIONS crystal
Sn 0.500 0.500 0.500
Re 0.750 0.750 0.750
Re 0.250 0.250 0.250
S 0.000 0.000 0.000
CELL_PARAMETERS angstrom
0.000 3.165 3.165
3.165 0.000 3.165
3.165 3.165 0.000
! - Excess energy over the best structure of this formula in the dataset: 0.0 meV/atom
! - Formation energy without anion corrections: 0.796 eV/atom
! - Energy: -7.461 eV/atom
! - Symmetry: Fm-3m (225)
! - ρ: 13.707 g/cm³

! PBE Cs2TcPbBr6, relaxed; values from VASP
&SYSTEM
  ibrav = 0, nat = 10, ntyp = 4
/
ATOMIC_SPECIES
Br 79.90 Br.upf
Tc 98.00 Tc.upf
Cs 132.91 Cs.upf
Pb 207.20 Pb.upf
ATOMIC_POSITIONS crystal
Br 0.739 0.261 0.000
Br 0.739 0.739 0.000
Br 0.261 0.261 0.000
Br 0.261 0.739 0.000
Br 0.739 0.739 0.523
Br 0.261 0.261 0.477
Tc 0.500 0.500 0.000
Cs 0.750 0.250 0.500
Cs 0.250 0.750 0.500
Pb 0.000 0.000 0.000
CELL_PARAMETERS angstrom
-5.300 -4.948 -3.795
6.155 -4.950 -2.142
-0.279 -7.948 1.929
! - Formation energy without anion corrections: -0.960 eV/atom
! - Energy: -3.542 eV/atom
! - Symmetry: Fm-3m (225)
! - ρ: 4.500 g/cm³

! PBE YInAg2, relaxed; values from VASP
&SYSTEM
  ibrav = 0, nat = 8, ntyp = 3
/
ATOMIC_SPECIES
Y 88.91 Y.upf
Ag 107.87 Ag.upf
In 114.82 In.upf
ATOMIC_POSITIONS crystal
Y 0.500 0.500 0.000
Y 0.250 0.750 0.500
Ag 0.087 0.625 0.250
Ag 0.663 0.125 0.250
Ag 0.875 0.913 0.750
Ag 0.375 0.337 0.750
In 0.750 0.250 0.500
In 0.000 0.000 0.000
CELL_PARAMETERS angstrom
4.450 0.000 0.000
0.000 4.450 0.000
2.225 2.225 9.989
! - Energy: -3.719 eV/atom
! - Symmetry: I-42d (122)
! - Energy relative to the elements: 0.0068 eV per atom
! - ρ: 7.042 g/cm³

! PBE LaSiTe2, relaxed; values from VASP
&SYSTEM
  ibrav = 0, nat = 4, ntyp = 3
/
ATOMIC_SPECIES
Si 28.09 Si.upf
Te 127.60 Te.upf
La 138.91 La.upf
ATOMIC_POSITIONS crystal
Si 0.250 0.750 0.500
Te 0.750 0.250 0.500
Te 0.001 0.001 0.000
La 0.499 0.499 0.000
CELL_PARAMETERS angstrom
-5.915 0.520 2.249
-1.420 -2.090 5.825
4.352 3.631 -2.861
! - Formation energy without anion corrections: -0.560 eV/atom
! - Energy: -4.718 eV/atom
! - Symmetry: Imm2 (44)
! - ρ: 6.393 g/cm³

! PBE TbPb2Cl8, relaxed; values from VASP
&SYSTEM
  ibrav = 0, nat = 11, ntyp = 3
/
ATOMIC_SPECIES
Cl 35.45 Cl.upf
Pb 207.20 Pb.upf
Tb 158.93 Tb.upf
ATOMIC_POSITIONS crystal
Cl 0.740 0.887 0.887
Cl 0.240 0.038 0.660
Cl 0.188 0.575 0.575
Cl 0.760 0.962 0.340
Cl 0.812 0.425 0.425
Cl 0.760 0.340 0.962
Cl 0.240 0.660 0.038
Cl 0.260 0.113 0.113
Pb 0.214 0.343 0.343
Pb 0.786 0.657 0.657
Tb 0.000 0.000 0.000
CELL_PARAMETERS angstrom
-1.061 5.893 3.624
-4.688 -1.932 5.830
4.238 -0.690 6.423
! - Formation energy without anion corrections: -1.363 eV/atom
! - Energy: -3.801 eV/atom
! - Symmetry: C2/m (12)
! - ρ: 3.811 g/cm³

! PBE Ca2InPt, relaxed; values from VASP
&SYSTEM
  ibrav = 0, nat = 4, ntyp = 3
/
ATOMIC_SPECIES
Ca 40.08 Ca.upf
In 114.82 In.upf
Pt 195.08 Pt.upf
ATOMIC_POSITIONS crystal
Ca 0.000 0.039 0.961
Ca 0.000 0.461 0.539
In 0.500 0.250 0.250
Pt 0.500 0.750 0.750
CELL_PARAMETERS angstrom
3.524 0.000 0.000
0.000 3.539 -0.003
0.000 3.532 8.018
! - Energy: -3.869 eV/atom
! - Symmetry: P2/m (10)
! - Energy relative to the elements: -0.6738 eV per atom
! - ρ: 6.475 g/cm³

! PBE LiGe2Te4, relaxed; values from VASP
&SYSTEM
  ibrav = 0, nat = 14, ntyp = 3
/
ATOMIC_SPECIES
Te 127.60 Te.upf
Li 6.94 Li.upf
Ge 72.64 Ge.upf
ATOMIC_POSITIONS crystal
Te 0.769 0.537 0.141
Te 0.500 0.000 0.000
Te 0.500 0.000 0.500
Te 0.960 0.919 0.750
Te 0.040 0.081 0.250
Te 0.769 0.537 0.359
Te 0.231 0.463 0.641
Te 0.231 0.463 0.859
Li 0.596 0.191 0.750
Li 0.404 0.809 0.250
Ge 0.133 0.266 0.072
Ge 0.867 0.734 0.572
Ge 0.133 0.266 0.428
Ge 0.867 0.734 0.928
CELL_PARAMETERS angstrom
-3.057 2.658 -0.019
-2.637 -6.145 -3.428
-4.182 -4.726 11.690
! - Formation energy without anion corrections: -0.153 eV/atom
! - Energy: -3.541 eV/atom
! - Symmetry: Cmcm (63)
! - ρ: 5.652 g/cm³

! PBE LiSbF2, relaxed; values from VASP
&SYSTEM
  ibrav = 0, nat = 4, ntyp = 3
/
ATOMIC_SPECIES
F 19.00 F.upf
Li 6.94 Li.upf
Sb 121.76 Sb.upf
ATOMIC_POSITIONS crystal
F 0.250 0.250 0.250
F 0.750 0.750 0.750
Li 0.000 0.000 0.000
Sb 0.500 0.500 0.500
CELL_PARAMETERS angstrom
4.230 -0.985 0.859
1.094 -4.069 1.359
2.234 -2.709 -2.697
! - Excess energy over the best structure of this formula in the dataset: 896.8 meV/atom
! - Formation energy without anion corrections: -1.223 eV/atom
! - Energy: -3.667 eV/atom
! - Symmetry: Fm-3m (225)
! - ρ: 4.511 g/cm³

! PBE LiYSb2, relaxed; values from VASP
&SYSTEM
  ibrav = 0, nat = 4, ntyp = 3
/
ATOMIC_SPECIES
Y 88.91 Y.upf
Li 6.94 Li.upf
Sb 121.76 Sb.upf
ATOMIC_POSITIONS crystal
Y 0.750 0.750 0.750
Li 0.500 0.500 0.500
Sb 0.250 0.250 0.250
Sb 0.000 0.000 0.000
CELL_PARAMETERS angstrom
5.230 0.000 0.000
2.615 4.529 0.000
2.615 1.510 4.270
! - Excess energy over the best structure of this formula in the dataset: 511.2 meV/atom
! - Formation energy without anion corrections: -0.288 eV/atom
! - Energy: -4.443 eV/atom
! - Symmetry: F-43m (216)
! - ρ: 5.571 g/cm³

! PBE TaTeSe3, relaxed; values from VASP
&SYSTEM
  ibrav = 0, nat = 5, ntyp = 3
/
ATOMIC_SPECIES
Se 78.96 Se.upf
Te 127.60 Te.upf
Ta 180.95 Ta.upf
ATOMIC_POSITIONS crystal
Se 0.000 0.500 0.000
Se 0.000 0.000 0.500
Se 0.500 0.000 0.000
Te 0.500 0.500 0.500
Ta 0.000 0.000 0.000
CELL_PARAMETERS angstrom
-4.604 1.720 -1.135
-1.929 -2.620 3.854
0.725 3.952 3.049
! - Excess energy over the best structure of this formula in the dataset: 347.2 meV/atom
! - Formation energy without anion corrections: 0.049 eV/atom
! - Energy: -5.041 eV/atom
! - Symmetry: Pm-3m (221)
! - ρ: 7.058 g/cm³

! PBE ZnCu2Mo, relaxed; values from VASP
&SYSTEM
  ibrav = 0, nat = 4, ntyp = 3
/
ATOMIC_SPECIES
Cu 63.55 Cu.upf
Zn 65.41 Zn.upf
Mo 95.94 Mo.upf
ATOMIC_POSITIONS crystal
Cu 0.998 0.998 0.998
Cu 0.254 0.254 0.254
Zn 0.745 0.745 0.745
Mo 0.502 0.502 0.502
CELL_PARAMETERS angstrom
-1.175 -3.626 8.041
-2.210 -5.610 6.544
0.445 -5.499 6.982
! - Energy: -4.895 eV/atom
! - Symmetry: R3m (160)
! - Energy relative to the elements: 0.1796 eV per atom
! - ρ: 8.706 g/cm³

! PBE Cr2Pt, relaxed; values from VASP
&SYSTEM
  ibrav = 0, nat = 6, ntyp = 2
/
ATOMIC_SPECIES
Cr 52.00 Cr.upf
Pt 195.08 Pt.upf
ATOMIC_POSITIONS crystal
Cr 0.994 0.994 0.010
Cr 0.337 0.337 0.329
Cr 0.672 0.672 0.653
Cr 0.611 0.611 0.285
Pt 0.269 0.269 0.953
Pt 0.950 0.950 0.603
CELL_PARAMETERS angstrom
-2.517 -4.178 1.265
-0.020 -4.624 2.003
-1.598 0.984 6.006
! - Energy: -8.433 eV/atom
! - Symmetry: Cm (8)
! - Energy relative to the elements: -0.0039 eV per atom
! - ρ: 12.675 g/cm³

! PBE LaInTc2O8, relaxed; values from VASP
&SYSTEM
  ibrav = 0, nat = 12, ntyp = 4
/
ATOMIC_SPECIES
O 16.00 O.upf
Tc 98.00 Tc.upf
La 138.91 La.upf
In 114.82 In.upf
ATOMIC_POSITIONS crystal
O 0.321 0.914 0.326
O 0.086 0.995 0.674
O 0.005 0.412 0.326
O 0.173 0.594 0.840
O 0.406 0.332 0.160
O 0.588 0.679 0.674
O 0.668 0.246 0.840
O 0.754 0.827 0.160
Tc 0.500 0.500 0.000
Tc 0.250 0.750 0.500
La 0.750 0.250 0.500
In 0.000 0.000 0.000
CELL_PARAMETERS angstrom
5.276 0.000 0.000
0.000 5.276 0.000
-2.638 -2.638 5.753
! - Formation energy without anion corrections: -1.748 eV/atom
! - Energy: -7.420 eV/atom
! - Symmetry: I-4 (82)
! - ρ: 5.990 g/cm³

! PBE K2Y, relaxed; values from VASP
&SYSTEM
  ibrav = 0, nat = 3, ntyp = 2
/
ATOMIC_SPECIES
K 39.10 K.upf
Y 88.91 Y.upf
ATOMIC_POSITIONS crystal
K 0.500 0.000 0.500
K 0.000 0.500 0.500
Y 0.000 0.000 0.000
CELL_PARAMETERS angstrom
-3.478 -2.262 -6.064
1.980 -6.926 1.448
-3.114 -0.479 1.965
! - Energy: -2.195 eV/atom
! - Symmetry: P4/mmm (123)
! - Energy relative to the elements: 0.6909 eV per atom
! - ρ: 1.384 g/cm³

! PBE AcPmSm2Ho, relaxed; values from VASP
&SYSTEM
  ibrav = 0, nat = 10, ntyp = 4
/
ATOMIC_SPECIES
Sm 150.36 Sm.upf
Ac 227.00 Ac.upf
Pm 145.00 Pm.upf
Ho 164.93 Ho.upf
ATOMIC_POSITIONS crystal
Sm 0.000 0.694 0.000
Sm 0.500 0.306 0.000
Sm 0.500 0.694 0.000
Sm 0.000 0.306 0.000
Ac 0.250 0.757 0.513
Ac 0.750 0.243 0.487
Pm 0.250 0.056 0.112
Pm 0.750 0.944 0.888
Ho 0.750 0.693 0.386
Ho 0.250 0.307 0.614
CELL_PARAMETERS angstrom
7.338 0.000 0.000
0.000 8.381 0.000
0.000 -4.191 6.101
! - Energy: -4.227 eV/atom
! - Symmetry: Cmcm (63)
! - Energy relative to the elements: 0.3476 eV per atom
! - ρ: 7.414 g/cm³

! PBE KMoAu2, relaxed; values from VASP
&SYSTEM
  ibrav = 0, nat = 4, ntyp = 3
/
ATOMIC_SPECIES
Au 196.97 Au.upf
Mo 95.94 Mo.upf
K 39.10 K.upf
ATOMIC_POSITIONS crystal
Au 0.000 0.000 0.989
Au 0.500 0.500 0.189
Mo 0.500 0.500 0.839
K 0.000 0.000 0.483
CELL_PARAMETERS angstrom
-0.871 1.307 -3.101
-3.182 0.723 1.199
2.552 7.312 2.366
! - Excess energy over the best structure of this formula in the dataset: 397.2 meV/atom
! - Energy: -3.938 eV/atom
! - Symmetry: P4mm (99)
! - Energy relative to the elements: 0.6826 eV per atom
! - ρ: 8.977 g/cm³